1.
Crystalline Th3ZnFe at its relaxed geometry, computed with GGA-PBE.

Unit cell a=5.0190 b=7.4140 c=8.1017 alpha=117.23 beta=90.00 gamma=90.00
Element x y z (fractional)
Fe: 0.5000 0.8682 0.7363
Fe: 0.5000 0.1318 0.2637
Th: 0.5000 0.2947 0.0000
Th: 0.0000 0.1228 0.2456
Th: 0.5000 0.5000 0.5000
Th: 0.5000 0.7053 0.0000
Th: 0.5000 0.0000 0.5000
Th: 0.0000 0.8772 0.7544
Zn: 0.0000 0.3766 0.7531
Zn: 0.0000 0.6234 0.2469

V in A^3/atom: 26.8
Final energy in eV per cell: -64.179
E_form in eV per atom: -0.02
Relative energy among the computed polymorphs in eV/atom: 0.0000



2.
Crystalline Th2ZnFe at its relaxed geometry, computed with GGA-PBE.

Unit cell a=5.0581 b=5.0581 c=5.0581 alpha=60.00 beta=60.00 gamma=60.00
Last column: magnetic moment on the atom in μB.
Element x y z (fractional)
Th: 0.7500 0.7500 0.7500  -0.20
Th: 0.2500 0.2500 0.2500  -0.20
Fe: 0.0000 0.0000 0.0000  1.32
Zn: 0.5000 0.5000 0.5000  0.00

V in A^3/atom: 22.9
Final energy in eV per cell: -24.467
E_form in eV per atom: 0.03
Relative energy among the computed polymorphs in eV/atom: 0.1593



3.
Crystalline Th2ZrFe at its relaxed geometry, computed with GGA-PBE.

Unit cell a=3.5970 b=3.5970 c=9.7948 alpha=79.42 beta=79.42 gamma=60.00
Element x y z (fractional)
Fe: 0.5000 0.5000 0.5000
Zr: 0.0000 0.0000 0.0000
Th: 0.1086 0.1086 0.6743
Th: 0.8914 0.8914 0.3257

V in A^3/atom: 26.8
Final energy in eV per cell: -29.980
E_form in eV per atom: 0.47



4.
Crystalline ThZr2Fe at its relaxed geometry, computed with GGA-PBE.

Unit cell a=4.9299 b=4.9299 c=4.9317 alpha=60.01 beta=60.01 gamma=60.00
Last column: magnetic moment on the atom in μB.
Element x y z (fractional)
Th: 0.5000 0.5000 0.5000  -0.22
Zr: 0.2501 0.2501 0.2498  -0.25
Zr: 0.7499 0.7499 0.7502  -0.25
Fe: 0.0000 0.0000 0.0000  2.14

V in A^3/atom: 21.2
Final energy in eV per cell: -31.808
E_form in eV per atom: 0.29
Relative energy among the computed polymorphs in eV/atom: 0.3703



5.
Crystalline ThZr2Fe at its relaxed geometry, computed with GGA-PBE.

Unit cell a=3.2778 b=3.2778 c=8.0949 alpha=90.00 beta=90.00 gamma=90.00
Last column: magnetic moment on the atom in μB.
Element x y z (fractional)
Zr: 0.0000 0.0000 0.1878  -0.17
Zr: 0.0000 0.0000 0.8122  -0.17
Th: 0.5000 0.5000 0.5000  0.02
Fe: 0.5000 0.5000 0.0000  1.15

V in A^3/atom: 21.7
Final energy in eV per cell: -33.011
E_form in eV per atom: -0.01
Relative energy among the computed polymorphs in eV/atom: 0.0698



6.
Crystalline ThZrFe at its relaxed geometry, computed with GGA-PBE.

Unit cell a=3.3375 b=3.3375 c=6.2969 alpha=105.37 beta=105.37 gamma=90.00
Last column: magnetic moment on the atom in μB.
Element x y z (fractional)
Fe: 0.6785 0.6785 0.3569  1.51
Zr: 0.3020 0.3020 0.6041  -0.03
Th: 0.0195 0.0195 0.0390  0.02

V in A^3/atom: 21.7
Final energy in eV per cell: -24.227
E_form in eV per atom: 0.07



7.
Crystalline ThZr2Fe at its relaxed geometry, computed with GGA-PBE.

Unit cell a=5.9637 b=6.6191 c=9.0065 alpha=90.00 beta=90.00 gamma=90.00
Element x y z (fractional)
Fe: 0.0732 0.3770 0.2500
Fe: 0.4268 0.8770 0.2500
Fe: 0.5732 0.1230 0.7500
Fe: 0.9268 0.6230 0.7500
Zr: 0.8431 0.3224 0.9333
Zr: 0.1569 0.6776 0.4333
Zr: 0.8431 0.3224 0.5667
Zr: 0.3431 0.1776 0.4333
Zr: 0.1569 0.6776 0.0667
Zr: 0.6569 0.8224 0.5667
Zr: 0.3431 0.1776 0.0667
Zr: 0.6569 0.8224 0.9333
Th: 0.8553 0.0485 0.2500
Th: 0.3553 0.4515 0.7500
Th: 0.6447 0.5485 0.2500
Th: 0.1447 0.9515 0.7500

V in A^3/atom: 22.2
Final energy in eV per cell: -133.159
E_form in eV per atom: -0.08
Relative energy among the computed polymorphs in eV/atom: 0.0000



8.
Crystalline ThZrFe4 at its relaxed geometry, computed with GGA-PBE.

Unit cell a=5.1126 b=5.1126 c=5.1126 alpha=60.00 beta=60.00 gamma=60.00
Last column: magnetic moment on the atom in μB.
Element x y z (fractional)
Fe: 0.6256 0.6256 0.1233  1.92
Fe: 0.6256 0.1233 0.6256  1.92
Fe: 0.1233 0.6256 0.6256  1.92
Fe: 0.6256 0.6256 0.6256  1.92
Zr: 0.0000 0.0000 0.0000  -0.50
Th: 0.2500 0.2500 0.2500  -0.36

V in A^3/atom: 15.7
Final energy in eV per cell: -50.389
E_form in eV per atom: -0.10



9.
Crystalline TiFe at its relaxed geometry, computed with GGA-PBE.

Unit cell a=5.2741 b=5.2741 c=5.2741 alpha=90.00 beta=90.00 gamma=90.00
Last column: magnetic moment on the atom in μB.
Element x y z (fractional)
Ti: 0.2500 0.2500 0.2500  -0.21
Ti: 0.7500 0.7500 0.2500  -0.21
Ti: 0.7500 0.2500 0.7500  -0.21
Ti: 0.2500 0.7500 0.7500  -0.21
Fe: 0.0000 0.5000 0.5000  0.34
Fe: 0.5000 0.5000 0.0000  0.34
Fe: 0.0000 0.0000 0.0000  0.34
Fe: 0.5000 0.0000 0.5000  0.34

V in A^3/atom: 18.3
Final energy in eV per cell: -54.571
E_form in eV per atom: 1.36



10.
Crystalline TiFe4 at its relaxed geometry, computed with GGA-PBE.

Unit cell a=4.2630 b=4.2630 c=4.2630 alpha=90.00 beta=90.00 gamma=90.00
Last column: magnetic moment on the atom in μB.
Element x y z (fractional)
Fe: 0.5000 0.0000 0.5000  2.02
Fe: 0.5000 0.5000 0.0000  2.02
Fe: 0.0000 0.0000 0.0000  3.16
Fe: 0.0000 0.5000 0.5000  2.02
Ti: 0.5000 0.5000 0.5000  -0.66

V in A^3/atom: 15.5
Final energy in eV per cell: -35.519
E_form in eV per atom: 1.25
Relative energy among the computed polymorphs in eV/atom: 1.1940



11.
Crystalline TiFe at its relaxed geometry, computed with GGA-PBE.

Unit cell a=9.1980 b=7.8021 c=6.1979 alpha=90.00 beta=90.00 gamma=90.00
Element x y z (fractional)
Fe: 0.7500 0.7500 0.4291
Fe: 0.5000 0.5000 0.3209
Fe: 0.2500 0.7500 0.9291
Fe: 0.5000 0.0000 0.1791
Fe: 0.7500 0.2500 0.9291
Fe: 0.7500 0.7500 0.0709
Fe: 0.2500 0.2500 0.4291
Fe: 0.0000 0.0000 0.3209
Fe: 0.0000 0.5000 0.1791
Fe: 0.2500 0.7500 0.5709
Fe: 0.7500 0.2500 0.5709
Fe: 0.0000 0.0000 0.6791
Fe: 0.5000 0.5000 0.6791
Fe: 0.2500 0.2500 0.0709
Fe: 0.0000 0.5000 0.8209
Fe: 0.5000 0.0000 0.8209
Ti: 0.2500 0.4400 0.7500
Ti: 0.5000 0.3100 0.0000
Ti: 0.2500 0.5600 0.2500
Ti: 0.0000 0.1900 0.0000
Ti: 0.7500 0.9400 0.7500
Ti: 0.5000 0.6900 0.0000
Ti: 0.2500 0.0600 0.7500
Ti: 0.7500 0.5600 0.7500
Ti: 0.2500 0.9400 0.2500
Ti: 0.7500 0.0600 0.2500
Ti: 0.5000 0.8100 0.5000
Ti: 0.0000 0.8100 0.0000
Ti: 0.5000 0.1900 0.5000
Ti: 0.0000 0.3100 0.5000
Ti: 0.0000 0.6900 0.5000
Ti: 0.7500 0.4400 0.2500

V in A^3/atom: 13.9
Final energy in eV per cell: -259.177
E_form in eV per atom: 0.08



12.
Crystalline TiFe at its relaxed geometry, computed with GGA-PBE.

Unit cell a=6.9558 b=6.9558 c=6.9558 alpha=90.00 beta=90.00 gamma=90.00
Element x y z (fractional)
Fe: 0.1222 0.1222 0.8778
Fe: 0.1222 0.8778 0.1222
Fe: 0.6222 0.6222 0.3778
Fe: 0.3778 0.6222 0.6222
Fe: 0.6222 0.3778 0.6222
Fe: 0.8778 0.1222 0.1222
Fe: 0.8778 0.8778 0.8778
Fe: 0.3778 0.3778 0.3778
Ti: 0.2799 0.7201 0.2799
Ti: 0.7799 0.7799 0.2201
Ti: 0.7799 0.2201 0.7799
Ti: 0.7201 0.2799 0.2799
Ti: 0.2201 0.2201 0.2201
Ti: 0.2799 0.2799 0.7201
Ti: 0.2201 0.7799 0.7799
Ti: 0.7201 0.7201 0.7201

V in A^3/atom: 21.0
Final energy in eV per cell: -114.993
E_form in eV per atom: 0.99



13.
Crystalline TiFe at its relaxed geometry, computed with GGA-PBE.

Unit cell a=2.7253 b=2.7253 c=3.8163 alpha=90.00 beta=90.00 gamma=107.95
Last column: magnetic moment on the atom in μB.
Element x y z (fractional)
Ti: 0.0000 0.0000 0.0000  -0.58
Fe: 0.5000 0.5000 0.5000  1.49

V in A^3/atom: 13.5
Final energy in eV per cell: -16.580
E_form in eV per atom: -0.11